Material: Ca2Si
Method: DFT, PBE-GGA
State: relaxed

Lattice parameters (Å, degrees): 7.687 7.687 5.099 90.00 90.00 147.31
Positions (direct):
Ca 0.744 0.256 0.750
Ca 0.438 0.562 0.750
Ca 0.256 0.744 0.250
Ca 0.562 0.438 0.250
Si 0.112 0.888 0.750
Si 0.888 0.112 0.250

Calculated values
Density of states at the Fermi level in states/eV/f.u.: 0.87
Magnetization in μB per cell: 0.000
Formation energy (no corrections) in eV per atom: -0.21
Space group: Cmcm (63)

---

Material: CaSi3
Method: DFT, PBE-GGA
State: relaxed

Lattice parameters (Å, degrees): 5.291 5.291 5.291 90.00 90.00 90.00
Positions (direct):
Ca 0.000 0.000 0.000
Ca 0.500 0.500 0.500
Si 0.750 0.500 0.000
Si 0.250 0.500 0.000
Si 0.000 0.750 0.500
Si 0.000 0.250 0.500
Si 0.500 0.000 0.250
Si 0.500 0.000 0.750

Calculated values
Density of states at the Fermi level in states/eV/f.u.: 1.71
Magnetization in μB per cell: 0.000
Formation energy (no corrections) in eV per atom: 0.27
Space group: Pm-3n (223)

---

Material: Ca5Si3
Method: DFT, PBE-GGA
State: relaxed

Lattice parameters (Å, degrees): 9.154 9.154 9.154 130.73 130.73 72.24
Positions (direct):
Ca 0.539 0.680 0.500
Ca 0.039 0.539 0.859
Ca 0.680 0.180 0.141
Ca 0.961 0.461 0.141
Ca 0.180 0.039 0.500
Ca 0.461 0.320 0.500
Ca 0.820 0.961 0.500
Ca 0.320 0.820 0.859
Ca 0.000 0.000 0.000
Ca 0.500 0.500 0.000
Si 0.613 0.113 0.725
Si 0.113 0.387 0.500
Si 0.887 0.613 0.500
Si 0.387 0.887 0.275
Si 0.250 0.250 0.000
Si 0.750 0.750 0.000

Calculated values
Density of states at the Fermi level in states/eV/f.u.: 5.91
Magnetization in μB per cell: 0.000
Formation energy (no corrections) in eV per atom: -0.49
Space group: I4/mcm (140)

---

Material: CaSi3
Method: DFT, PBE-GGA
State: relaxed

Lattice parameters (Å, degrees): 4.569 4.569 5.367 74.74 74.74 46.46
Positions (direct):
Ca 0.000 0.000 0.000
Si 0.500 0.500 0.500
Si 0.228 0.228 0.353
Si 0.772 0.772 0.647

Calculated values
Density of states at the Fermi level in states/eV/f.u.: 1.27
Magnetization in μB per cell: 0.000
Formation energy (no corrections) in eV per atom: -0.10
Space group: C2/m (12)

---

Material: Ca2Si
Method: DFT, PBE-GGA
State: relaxed

Lattice parameters (Å, degrees): 14.769 14.769 14.769 166.40 166.40 19.27
Positions (direct):
Ca 0.812 0.312 0.500
Ca 0.938 0.938 0.000
Ca 0.688 0.188 0.500
Ca 0.062 0.062 0.000
Si 0.250 0.750 0.500
Si 0.500 0.500 0.000

Calculated values
Density of states at the Fermi level in states/eV/f.u.: 2.14
Magnetization in μB per cell: 0.000
Formation energy (no corrections) in eV per atom: -0.20
Space group: I4_1/amd (141)

---

Material: Ca2Si
Method: DFT, PBE-GGA
State: relaxed

Lattice parameters (Å, degrees): 5.065 5.065 5.065 60.00 60.00 60.00
Positions (direct):
Ca 0.750 0.750 0.750
Ca 0.250 0.250 0.250
Si 0.000 0.000 0.000

Calculated values
Magnetization in μB per cell: 0.000
Formation energy (no corrections) in eV per atom: -0.45
Space group: Fm-3m (225)